## Rb2As (PBE)

Data for a relaxed Rb2As crystal.

## Properties
DOS at the Fermi energy = 0.929 states/eV/atom
ΔH_f (0 K) = -151 meV/atom
Magnetization = 0.0 μB/cell

Cell: 6.014 6.014 3.839 Å, 90.00 90.00 90.00°
Positions (direct):
Rb (0.000, 0.500, 0.000)
Rb (0.500, 0.000, 0.000)
As (0.000, 0.000, 0.500)

=====

## Li2ZrNbAl (PBE)

Data for a relaxed Li2ZrNbAl crystal.

## Properties
DOS at the Fermi energy = 0.594 states/eV/atom
ΔH_f (0 K) = 1245 meV/atom
Magnetization = 0.0 μB/cell

Cell: 4.904 4.904 4.793 Å, 90.00 90.00 90.00°
Positions (direct):
Li (0.000, 0.500, 0.000)
Li (0.500, 0.000, 0.000)
Zr (0.000, 0.000, 0.000)
Nb (0.000, 0.000, 0.500)
Al (0.500, 0.500, 0.500)

=====

## RbNaRh2 (PBE)

Data for a relaxed RbNaRh2 crystal.

## Properties
DOS at the Fermi energy = 1.492 states/eV/atom
ΔH_f (0 K) = 1007 meV/atom
Magnetization = 0.0 μB/cell

Cell: 6.623 6.623 6.623 Å, 98.60 98.60 134.51°
Positions (direct):
Rb (0.000, 0.000, 0.000)
Rb (0.750, 0.250, 0.500)
Na (0.250, 0.750, 0.500)
Na (0.500, 0.500, 0.000)
Rh (0.144, 0.625, 0.019)
Rh (0.375, 0.394, 0.519)
Rh (0.606, 0.125, 0.981)
Rh (0.875, 0.856, 0.481)

=====

## Ce5InBi4 (PBE)

Data for a relaxed Ce5InBi4 crystal.

## Properties
DOS at the Fermi energy = 3.105 states/eV/atom
ΔH_f (0 K) = -617 meV/atom
Magnetization = 3.6 μB/cell

Cell: 7.931 7.931 7.931 Å, 99.58 99.58 131.84°
Positions (direct):
Ce (0.000, 0.000, 0.000)
Ce (0.200, 0.600, 0.802)
Ce (0.398, 0.200, 0.599)
Ce (0.600, 0.799, 0.401)
Ce (0.799, 0.398, 0.198)
In (0.500, 0.500, 0.000)
Bi (0.098, 0.300, 0.400)
Bi (0.300, 0.900, 0.202)
Bi (0.698, 0.098, 0.798)
Bi (0.900, 0.698, 0.600)

=====

## MgZn5Ag5 (PBE)

Data for a relaxed MgZn5Ag5 crystal.

## Properties
DOS at the Fermi energy = 0.267 states/eV/atom
ΔH_f (0 K) = 15 meV/atom
Magnetization = 0.0 μB/cell

Cell: 4.867 4.867 9.277 Å, 90.00 90.00 120.00°
Positions (direct):
Mg (0.000, 0.000, 0.000)
Zn (0.005, 0.503, 0.500)
Zn (0.497, 0.503, 0.500)
Zn (0.497, 0.995, 0.500)
Zn (0.667, 0.333, 0.265)
Zn (0.667, 0.333, 0.735)
Ag (0.000, 0.000, 0.320)
Ag (0.000, 0.000, 0.680)
Ag (0.333, 0.667, 0.165)
Ag (0.333, 0.667, 0.835)
Ag (0.667, 0.333, 0.000)

=====

## Ca2LaYS4 (PBE)

Data for a relaxed Ca2LaYS4 crystal.

## Properties
DOS at the Fermi energy = 0.451 states/eV/atom
Raw formation energy = -2.07 eV per atom
Magnetization = 0.0 μB/cell

Cell: 6.963 4.013 7.043 Å, 90.00 109.15 90.00°
Positions (direct):
Ca (0.000, 0.000, 0.000)
Ca (0.500, 0.500, 0.000)
La (0.000, 0.500, 0.500)
Y (0.500, 0.000, 0.500)
S (0.259, 0.500, 0.250)
S (0.261, 0.000, 0.756)
S (0.739, 0.000, 0.244)
S (0.741, 0.500, 0.750)

=====

## KPr2TcO8 (PBE)

Data for a relaxed KPr2TcO8 crystal.

## Properties
Raw formation energy = -2.05 eV per atom
Magnetization = 0.0 μB/cell

Cell: 4.314 5.351 7.360 Å, 90.22 105.89 90.44°
Positions (direct):
K (0.000, 0.000, 0.000)
Pr (0.377, 0.494, 0.710)
Pr (0.623, 0.506, 0.290)
Tc (0.000, 0.000, 0.500)
O (0.171, 0.502, 0.998)
O (0.184, 0.711, 0.405)
O (0.204, 0.235, 0.383)
O (0.340, 0.015, 0.725)
O (0.660, 0.985, 0.275)
O (0.796, 0.765, 0.617)
O (0.816, 0.289, 0.595)
O (0.829, 0.498, 0.002)

=====

## Pr2TiN (PBE)

Data for a relaxed Pr2TiN crystal.

## Properties
DOS at the Fermi energy = 1.418 states/eV/atom
Raw formation energy = -0.17 eV per atom
Magnetization = 1.9 μB/cell

Cell: 9.432 9.432 9.432 Å, 21.39 21.39 21.39°
Positions (direct):
Pr (0.114, 0.114, 0.114)
Pr (0.886, 0.886, 0.886)
Ti (0.000, 0.000, 0.000)
N (0.500, 0.500, 0.500)

=====

## NaTiBe2Pt (PBE)

Data for a relaxed NaTiBe2Pt crystal.

## Properties
DOS at the Fermi energy = 0.973 states/eV/atom
ΔH_f (0 K) = 249 meV/atom
Magnetization = 0.0 μB/cell

Cell: 4.435 4.435 4.813 Å, 90.00 90.00 90.00°
Positions (direct):
Na (0.000, 0.000, 0.000)
Ti (0.500, 0.500, 0.000)
Be (0.000, 0.500, 0.500)
Be (0.500, 0.000, 0.500)
Pt (0.500, 0.500, 0.500)

=====

## LiPm2Cu4 (PBE)

Data for a relaxed LiPm2Cu4 crystal.

## Properties
DOS at the Fermi energy = 0.599 states/eV/atom
ΔH_f (0 K) = 123 meV/atom
Magnetization = 0.0 μB/cell

Cell: 7.991 7.991 7.991 Å, 148.40 148.40 45.30°
Positions (direct):
Li (0.000, 0.000, 0.000)
Pm (0.352, 0.352, 0.000)
Pm (0.648, 0.648, 0.000)
Cu (0.000, 0.500, 0.500)
Cu (0.153, 0.153, 0.000)
Cu (0.500, 0.000, 0.500)
Cu (0.847, 0.847, 0.000)

=====

## Al4HgSe7 (PBE)

Data for a relaxed Al4HgSe7 crystal.

## Properties
DOS at the Fermi energy = 0.000 states/eV/atom
Raw formation energy = -0.73 eV per atom
Magnetization = 0.0 μB/cell

Cell: 16.144 6.870 6.515 Å, 90.00 90.00 90.00°
Positions (direct):
Al (0.126, 0.174, 0.000)
Al (0.243, 0.329, 0.468)
Al (0.257, 0.671, 0.968)
Al (0.374, 0.826, 0.500)
Al (0.626, 0.826, 0.500)
Al (0.743, 0.671, 0.968)
Al (0.757, 0.329, 0.468)
Al (0.874, 0.174, 0.000)
Hg (0.000, 0.658, 0.903)
Hg (0.500, 0.342, 0.403)
Se (0.000, 0.284, 0.826)
Se (0.117, 0.195, 0.358)
Se (0.138, 0.852, 0.839)
Se (0.248, 0.334, 0.848)
Se (0.252, 0.666, 0.348)
Se (0.362, 0.148, 0.339)
Se (0.383, 0.805, 0.858)
Se (0.500, 0.716, 0.326)
Se (0.617, 0.805, 0.858)
Se (0.638, 0.148, 0.339)
Se (0.748, 0.666, 0.348)
Se (0.752, 0.334, 0.848)
Se (0.862, 0.852, 0.839)
Se (0.883, 0.195, 0.358)

=====

## Tl3Cd2Hg8 (PBE)

Data for a relaxed Tl3Cd2Hg8 crystal.

## Properties
DOS at the Fermi energy = 0.577 states/eV/atom
ΔH_f (0 K) = 58 meV/atom
Magnetization = 0.0 μB/cell

Cell: 12.040 12.040 12.040 Å, 29.73 29.73 29.73°
Positions (direct):
Tl (0.000, 0.000, 0.000)
Tl (0.184, 0.184, 0.184)
Tl (0.816, 0.816, 0.816)
Cd (0.362, 0.362, 0.362)
Cd (0.638, 0.638, 0.638)
Hg (0.231, 0.733, 0.733)
Hg (0.267, 0.267, 0.769)
Hg (0.267, 0.769, 0.267)
Hg (0.279, 0.279, 0.279)
Hg (0.721, 0.721, 0.721)
Hg (0.733, 0.231, 0.733)
Hg (0.733, 0.733, 0.231)
Hg (0.769, 0.267, 0.267)

=====

> The highest magnetization belongs to which entry?

Ce5InBi4

=====

> Look up the magnetization of the seventh one.

0.0 μB/cell

=====

Please write out number 10 again, unchanged.
## LiPm2Cu4 (PBE)

Data for a relaxed LiPm2Cu4 crystal.

## Properties
DOS at the Fermi energy = 0.599 states/eV/atom
ΔH_f (0 K) = 123 meV/atom
Magnetization = 0.0 μB/cell

Cell: 7.991 7.991 7.991 Å, 148.40 148.40 45.30°
Positions (direct):
Li (0.000, 0.000, 0.000)
Pm (0.352, 0.352, 0.000)
Pm (0.648, 0.648, 0.000)
Cu (0.000, 0.500, 0.500)
Cu (0.153, 0.153, 0.000)
Cu (0.500, 0.000, 0.500)
Cu (0.847, 0.847, 0.000)

=====

> Look up the magnetization of the fourth one.

3.6 μB/cell